[1]
Entry from Alexandria via LeMat-Bulk: Li2PPb at its PBEsol-relaxed geometry (meta-GGA SCAN).

Cell and atoms, written as extended XYZ:
```
12
Lattice="3.196 0.000 0.000 -1.598 2.768 0.000 0.000 0.000 25.999" Properties=species:S:1:pos:R:3 pbc="T T T"
Li 0.000 0.000 6.070
Li 0.000 0.000 19.928
Li 0.000 1.845 11.262
Li 0.000 1.845 23.403
Li 1.598 0.923 2.596
Li 1.598 0.923 14.737
P 0.000 0.000 12.999
P 0.000 1.845 4.333
P 1.598 0.923 21.666
Pb 0.000 0.000 0.000
Pb 0.000 1.845 17.333
Pb 1.598 0.923 8.666
```

Calculated values
Calculated volume: 230.05 Å³ per cell
Calculated formation energy: -0.206 eV/atom
Density: 5.46 g/cm3

[2]
Entry from Alexandria via LeMat-Bulk: BaLi2Tl2 at its PBEsol-relaxed geometry (meta-GGA SCAN).

Cell and atoms, written as extended XYZ:
```
10
Lattice="8.671 0.000 0.000 0.000 8.671 0.000 0.000 0.000 3.416" Properties=species:S:1:pos:R:3 pbc="T T T"
Ba 0.000 0.000 0.000
Ba 4.335 4.335 0.000
Li 1.016 3.319 0.000
Li 3.319 7.655 0.000
Li 5.352 1.016 0.000
Li 7.655 5.352 0.000
Tl 1.494 5.829 1.708
Tl 2.841 1.494 1.708
Tl 5.829 7.177 1.708
Tl 7.177 2.841 1.708
```

Calculated values
Calculated volume: 256.85 Å³ per cell
Calculated formation energy: -0.331 eV/atom
Density: 7.24 g/cm3

[3]
Entry from Alexandria via LeMat-Bulk: TiCuGe at its PBEsol-relaxed geometry (meta-GGA SCAN).

Cell and atoms, written as extended XYZ:
```
12
Lattice="3.712 0.000 0.000 0.000 9.032 0.000 0.000 0.000 5.072" Properties=species:S:1:pos:R:3 pbc="T T T"
Ti 0.000 1.805 1.268
Ti 0.000 7.227 3.804
Ti 1.856 2.711 3.804
Ti 1.856 6.321 1.268
Cu 0.000 4.516 0.000
Cu 0.000 4.516 2.536
Cu 1.856 0.000 0.000
Cu 1.856 0.000 2.536
Ge 0.000 0.963 3.804
Ge 0.000 8.069 1.268
Ge 1.856 3.553 1.268
Ge 1.856 5.479 3.804
```

Calculated values
Calculated volume: 170.04 Å³ per cell
Calculated formation energy: -0.438 eV/atom
Density: 7.19 g/cm3